No. 1
VASP calculation (SCAN) on a PBEsol-optimized structure of Li3VH16O12.

Computed properties:
The value obtained for the total magnetization is 0.00 μB per atom. The space-group type is Pc (7). The energy above the most stable polymorph in this dataset is 0.0031 eV per atom.

```
data_Li3VH16O12
_symmetry_space_group_name_H-M 'P 1'
_symmetry_Int_Tables_number 1
_cell_length_a 6.3988
_cell_length_b 7.2277
_cell_length_c 12.0979
_cell_angle_alpha 78.74
_cell_angle_beta 90.00
_cell_angle_gamma 90.00
loop_
_symmetry_equiv_pos_as_xyz
'x,y,z'
loop_
_atom_site_label
_atom_site_type_symbol
_atom_site_fract_x
_atom_site_fract_y
_atom_site_fract_z
H1 H 0.2660 0.9091 0.4776
H2 H 0.1415 0.3337 0.1152
H3 H 0.6443 0.9506 0.3010
H4 H 0.4142 0.5348 0.3009
H5 H 0.8585 0.8337 0.6152
H6 H 0.2306 0.2057 0.9812
H7 H 0.8271 0.9251 0.0863
H8 H 0.3521 0.1113 0.8095
H9 H 0.8125 0.4183 0.1004
H10 H 0.1729 0.4251 0.5863
H11 H 0.5274 0.5800 0.0421
H12 H 0.3557 0.4506 0.8010
H13 H 0.0337 0.3608 0.3729
H14 H 0.8291 0.5506 0.5954
H15 H 0.0437 0.1349 0.3769
H16 H 0.1014 0.4635 0.2117
H17 H 0.5353 0.8041 0.0309
H18 H 0.7694 0.7057 0.4812
H19 H 0.6479 0.6113 0.3095
H20 H 0.1875 0.9183 0.6004
H21 H 0.4647 0.3041 0.5309
H22 H 0.9563 0.6349 0.8769
H23 H 0.5858 0.0348 0.8009
H24 H 0.1709 0.0506 0.0954
H25 H 0.4726 0.0800 0.5421
H26 H 0.9663 0.8608 0.8729
H27 H 0.7340 0.4091 0.9776
H28 H 0.2514 0.5169 0.4619
H29 H 0.8986 0.9635 0.7117
H30 H 0.4059 0.0224 0.3026
H31 H 0.5941 0.5224 0.8026
H32 H 0.7486 0.0169 0.9619
O1 O 0.1812 0.9516 0.3507
O2 O 0.7958 0.7774 0.3445
O3 O 0.4484 0.5653 0.7756
O4 O 0.3181 0.8971 0.5579
O5 O 0.4406 0.6984 0.0179
O6 O 0.0431 0.8609 0.1490
O7 O 0.2528 0.1705 0.0657
O8 O 0.6819 0.3971 0.0579
O9 O 0.0446 0.7389 0.8978
O10 O 0.8188 0.4516 0.8507
O11 O 0.2042 0.2774 0.8445
O12 O 0.5594 0.1984 0.5179
O13 O 0.9569 0.3609 0.6490
O14 O 0.1562 0.5664 0.3284
O15 O 0.7472 0.6705 0.5657
O16 O 0.9554 0.2389 0.3978
O17 O 0.4356 0.0011 0.7947
O18 O 0.5516 0.0653 0.2756
O19 O 0.0621 0.4454 0.1347
O20 O 0.3025 0.4745 0.5414
O21 O 0.6975 0.9745 0.0414
O22 O 0.9379 0.9454 0.6347
O23 O 0.5644 0.5011 0.2947
O24 O 0.8438 0.0664 0.8284
Li1 Li 0.5468 0.1563 0.1124
Li2 Li 0.3484 0.7542 0.8582
Li3 Li 0.4532 0.6563 0.6124
Li4 Li 0.6516 0.2542 0.3582
Li5 Li 0.1467 0.6920 0.0544
Li6 Li 0.8533 0.1920 0.5544
V1 V 0.9547 0.2893 0.7929
V2 V 0.0453 0.7893 0.2929
```

No. 2
VASP calculation (SCAN) on a PBEsol-optimized structure of SrAgIr2.

Computed properties:
The value obtained for the total magnetization is 0.00 μB per atom. The space-group type is Cm (8). The energy above the most stable polymorph in this dataset is 0.0423 eV per atom.

```
data_SrAgIr2
_symmetry_space_group_name_H-M 'P 1'
_symmetry_Int_Tables_number 1
_cell_length_a 2.9009
_cell_length_b 4.5949
_cell_length_c 6.4008
_cell_angle_alpha 98.43
_cell_angle_beta 90.00
_cell_angle_gamma 108.40
loop_
_symmetry_equiv_pos_as_xyz
'x,y,z'
loop_
_atom_site_label
_atom_site_type_symbol
_atom_site_fract_x
_atom_site_fract_y
_atom_site_fract_z
Ir1 Ir 0.9951 0.9902 0.9491
Ir2 Ir 0.2552 0.5103 0.8408
Sr1 Sr 0.5111 0.0221 0.5114
Ag1 Ag 0.7387 0.4774 0.1987
```

No. 3
VASP calculation (SCAN) on a PBEsol-optimized structure of ZrAlZn.

Computed properties:
The value obtained for the total magnetization is 0.00 μB per atom. The value obtained for the raw total energy is -17.852 eV per atom. The space-group type is P-6m2 (187).

```
data_ZrAlZn
_symmetry_space_group_name_H-M 'P 1'
_symmetry_Int_Tables_number 1
_cell_length_a 3.1953
_cell_length_b 4.2999
_cell_length_c 4.2999
_cell_angle_alpha 120.00
_cell_angle_beta 90.00
_cell_angle_gamma 90.00
loop_
_symmetry_equiv_pos_as_xyz
'x,y,z'
loop_
_atom_site_label
_atom_site_type_symbol
_atom_site_fract_x
_atom_site_fract_y
_atom_site_fract_z
Al1 Al 0.0000 0.0000 0.0000
Zn1 Zn 0.0000 0.3333 0.6667
Zr1 Zr 0.5000 0.6667 0.3333
```

No. 4
VASP calculation (SCAN) on a PBEsol-optimized structure of Ti4FeP6O24.

Computed properties:
The value obtained for the total magnetization is 0.11 μB per atom. The space-group type is R32 (155). The uncorrected formation energy is -2.737 eV per atom.

```
data_Ti4FeP6O24
_symmetry_space_group_name_H-M 'P 1'
_symmetry_Int_Tables_number 1
_cell_length_a 8.5936
_cell_length_b 8.5936
_cell_length_c 14.6468
_cell_angle_alpha 72.94
_cell_angle_beta 72.94
_cell_angle_gamma 60.00
loop_
_symmetry_equiv_pos_as_xyz
'x,y,z'
loop_
_atom_site_label
_atom_site_type_symbol
_atom_site_fract_x
_atom_site_fract_y
_atom_site_fract_z
O1 O 0.7980 0.9468 0.0905
O2 O 0.5764 0.3965 0.2551
O3 O 0.8353 0.0532 0.9095
O4 O 0.7289 0.5348 0.8306
O5 O 0.6723 0.8171 0.4819
O6 O 0.9534 0.7228 0.2652
O7 O 0.6035 0.4236 0.7449
O8 O 0.6958 0.8362 0.9917
O9 O 0.2066 0.0339 0.3518
O10 O 0.4922 0.6451 0.5902
O11 O 0.4764 0.6958 0.9917
O12 O 0.0339 0.4077 0.3518
O13 O 0.1647 0.7980 0.0905
O14 O 0.7274 0.3549 0.4098
O15 O 0.2711 0.0943 0.1694
O16 O 0.8171 0.0287 0.4819
O17 O 0.0943 0.4652 0.1694
O18 O 0.4652 0.2711 0.1694
O19 O 0.5236 0.1638 0.0083
O20 O 0.9661 0.7934 0.6482
O21 O 0.0466 0.9414 0.7348
O22 O 0.7720 0.5764 0.2551
O23 O 0.2772 0.0466 0.7348
O24 O 0.3042 0.5236 0.0083
O25 O 0.7228 0.0586 0.2652
O26 O 0.2280 0.6035 0.7449
O27 O 0.2726 0.4922 0.5902
O28 O 0.4236 0.2280 0.7449
O29 O 0.9057 0.7289 0.8306
O30 O 0.9713 0.1829 0.5181
O31 O 0.3277 0.9713 0.5181
O32 O 0.3549 0.5078 0.4098
O33 O 0.5078 0.7274 0.4098
O34 O 0.5923 0.9661 0.6482
O35 O 0.6451 0.2726 0.5902
O36 O 0.0532 0.2020 0.9095
O37 O 0.8362 0.4764 0.9917
O38 O 0.7934 0.5923 0.6482
O39 O 0.1829 0.3277 0.5181
O40 O 0.2020 0.8353 0.9095
O41 O 0.1638 0.3042 0.0083
O42 O 0.0287 0.6723 0.4819
O43 O 0.4077 0.2066 0.3518
O44 O 0.3965 0.7720 0.2551
O45 O 0.9414 0.2772 0.7348
O46 O 0.0586 0.9534 0.2652
O47 O 0.9468 0.1647 0.0905
O48 O 0.5348 0.9057 0.8306
P1 P 0.7621 0.4608 0.7410
P2 P 0.5000 0.7851 0.5000
P3 P 0.2379 0.9639 0.2590
P4 P 0.7111 0.0000 0.0000
P5 P 0.7851 0.2149 0.5000
P6 P 0.0361 0.7621 0.7410
P7 P 0.9639 0.5392 0.2590
P8 P 0.0000 0.2889 0.0000
P9 P 0.4608 0.0361 0.7410
P10 P 0.2149 0.5000 0.5000
P11 P 0.2889 0.7111 0.0000
P12 P 0.5392 0.2379 0.2590
Fe1 Fe 0.8750 0.8750 0.3750
Fe2 Fe 0.1250 0.1250 0.6250
Ti1 Ti 0.0540 0.0540 0.8381
Ti2 Ti 0.4430 0.4430 0.6711
Ti3 Ti 0.6960 0.6960 0.9121
Ti4 Ti 0.8074 0.8074 0.5778
Ti5 Ti 0.1926 0.1926 0.4222
Ti6 Ti 0.3040 0.3040 0.0879
Ti7 Ti 0.5570 0.5570 0.3289
Ti8 Ti 0.9460 0.9460 0.1619
```

No. 5
VASP calculation (SCAN) on a PBEsol-optimized structure of K2CdSnSe4.

Computed properties:
The value obtained for the total magnetization is 0.00 μB per atom. The space-group type is I-42m (121). The uncorrected formation energy is -0.956 eV per atom.

```
data_K2CdSnSe4
_symmetry_space_group_name_H-M 'P 1'
_symmetry_Int_Tables_number 1
_cell_length_a 6.6243
_cell_length_b 6.6243
_cell_length_c 6.6243
_cell_angle_alpha 105.77
_cell_angle_beta 105.77
_cell_angle_gamma 117.15
loop_
_symmetry_equiv_pos_as_xyz
'x,y,z'
loop_
_atom_site_label
_atom_site_type_symbol
_atom_site_fract_x
_atom_site_fract_y
_atom_site_fract_z
Se1 Se 0.0610 0.0610 0.6509
Se2 Se 0.4102 0.4102 0.3491
Se3 Se 0.5898 0.9390 0.0000
Se4 Se 0.9390 0.5898 0.0000
Sn1 Sn 0.0000 0.0000 0.0000
K1 K 0.5000 0.0000 0.5000
K2 K 0.0000 0.5000 0.5000
Cd1 Cd 0.5000 0.5000 0.0000
```

No. 6
VASP calculation (SCAN) on a PBEsol-optimized structure of MnTcBrN2.

Computed properties:
The value obtained for the total magnetization is 0.99 μB per atom. The space-group type is P4/mmm (123). The uncorrected formation energy is 0.476 eV per atom.

```
data_MnTcBrN2
_symmetry_space_group_name_H-M 'P 1'
_symmetry_Int_Tables_number 1
_cell_length_a 3.8080
_cell_length_b 3.8080
_cell_length_c 5.2267
_cell_angle_alpha 90.00
_cell_angle_beta 90.00
_cell_angle_gamma 90.00
loop_
_symmetry_equiv_pos_as_xyz
'x,y,z'
loop_
_atom_site_label
_atom_site_type_symbol
_atom_site_fract_x
_atom_site_fract_y
_atom_site_fract_z
Mn1 Mn 0.5000 0.5000 0.5000
N1 N 0.0000 0.5000 0.0000
N2 N 0.5000 0.0000 0.0000
Br1 Br 0.0000 0.0000 0.5000
Tc1 Tc 0.0000 0.0000 0.0000
```

No. 7
VASP calculation (SCAN) on a PBEsol-optimized structure of AgTeI2N.

Computed properties:
The value obtained for the total magnetization is 0.46 μB per atom. The space-group type is P4/mmm (123). The uncorrected formation energy is 0.971 eV per atom.

```
data_AgTeI2N
_symmetry_space_group_name_H-M 'P 1'
_symmetry_Int_Tables_number 1
_cell_length_a 3.9468
_cell_length_b 5.7507
_cell_length_c 5.7507
_cell_angle_alpha 90.00
_cell_angle_beta 90.00
_cell_angle_gamma 90.00
loop_
_symmetry_equiv_pos_as_xyz
'x,y,z'
loop_
_atom_site_label
_atom_site_type_symbol
_atom_site_fract_x
_atom_site_fract_y
_atom_site_fract_z
Te1 Te 0.5000 0.5000 0.5000
I1 I 0.0000 0.0000 0.5000
I2 I 0.0000 0.5000 0.0000
N1 N 0.5000 0.0000 0.0000
Ag1 Ag 0.0000 0.0000 0.0000
```

No. 8
VASP calculation (SCAN) on a PBEsol-optimized structure of LiCdRu2.

Computed properties:
The value obtained for the total magnetization is 0.00 μB per atom. The value obtained for the raw total energy is -25.301 eV per atom. The space-group type is C2/m (12).

```
data_LiCdRu2
_symmetry_space_group_name_H-M 'P 1'
_symmetry_Int_Tables_number 1
_cell_length_a 2.6891
_cell_length_b 4.6554
_cell_length_c 5.3436
_cell_angle_alpha 114.39
_cell_angle_beta 102.26
_cell_angle_gamma 95.16
loop_
_symmetry_equiv_pos_as_xyz
'x,y,z'
loop_
_atom_site_label
_atom_site_type_symbol
_atom_site_fract_x
_atom_site_fract_y
_atom_site_fract_z
Ru1 Ru 0.5000 0.5000 0.5000
Ru2 Ru 0.0000 0.0000 0.5000
Cd1 Cd 0.5000 0.0000 0.0000
Li1 Li 0.0000 0.5000 0.0000
```

No. 9
VASP calculation (SCAN) on a PBEsol-optimized structure of CoSbRu2.

Computed properties:
The value obtained for the total magnetization is 0.00 μB per atom. The space-group type is I-4m2 (119). The uncorrected formation energy is 0.216 eV per atom.

```
data_CoSbRu2
_symmetry_space_group_name_H-M 'P 1'
_symmetry_Int_Tables_number 1
_cell_length_a 3.8462
_cell_length_b 3.8462
_cell_length_c 4.6346
_cell_angle_alpha 114.52
_cell_angle_beta 114.52
_cell_angle_gamma 90.00
loop_
_symmetry_equiv_pos_as_xyz
'x,y,z'
loop_
_atom_site_label
_atom_site_type_symbol
_atom_site_fract_x
_atom_site_fract_y
_atom_site_fract_z
Co1 Co 0.2500 0.7500 0.5000
Sb1 Sb 0.5000 0.5000 0.0000
Ru1 Ru 0.7500 0.2500 0.5000
Ru2 Ru 0.0000 0.0000 0.0000
```

No. 10
VASP calculation (SCAN) on a PBEsol-optimized structure of In4Hg.

Computed properties:
The value obtained for the total magnetization is 0.00 μB per atom. The space-group type is I4/m (87). The energy above the most stable polymorph in this dataset is 0.0000 eV per atom.

```
data_In4Hg
_symmetry_space_group_name_H-M 'P 1'
_symmetry_Int_Tables_number 1
_cell_length_a 4.4288
_cell_length_b 5.7188
_cell_length_c 5.7188
_cell_angle_alpha 81.38
_cell_angle_beta 67.22
_cell_angle_gamma 67.22
loop_
_symmetry_equiv_pos_as_xyz
'x,y,z'
loop_
_atom_site_label
_atom_site_type_symbol
_atom_site_fract_x
_atom_site_fract_y
_atom_site_fract_z
Hg1 Hg 0.0000 0.0000 0.0000
In1 In 0.2034 0.3954 0.1978
In2 In 0.4012 0.8022 0.3954
In3 In 0.5988 0.1978 0.6046
In4 In 0.7966 0.6046 0.8022
```

No. 11
VASP calculation (SCAN) on a PBEsol-optimized structure of Na2TlCdFe.

Computed properties:
The value obtained for the total magnetization is 0.59 μB per atom. The value obtained for the raw total energy is -25.326 eV per atom. The space-group type is P4/mmm (123).

```
data_Na2TlCdFe
_symmetry_space_group_name_H-M 'P 1'
_symmetry_Int_Tables_number 1
_cell_length_a 4.9726
_cell_length_b 5.3409
_cell_length_c 5.3409
_cell_angle_alpha 90.00
_cell_angle_beta 90.00
_cell_angle_gamma 90.00
loop_
_symmetry_equiv_pos_as_xyz
'x,y,z'
loop_
_atom_site_label
_atom_site_type_symbol
_atom_site_fract_x
_atom_site_fract_y
_atom_site_fract_z
Cd1 Cd 0.5000 0.0000 0.0000
Na1 Na 0.0000 0.5000 0.0000
Na2 Na 0.0000 0.0000 0.5000
Fe1 Fe 0.0000 0.0000 0.0000
Tl1 Tl 0.5000 0.5000 0.5000
```